Entry 1:
A geometry-optimized Tb6Tm12Sn structure. Source: the Alexandria database, functional PBE.

```
Tb6Tm12Sn
1.0
5.8437 3.3738 4.9348
-5.8437 3.3738 4.9348
0.0000 -6.7477 4.9348
Tb Tm Sn
6 12 1
Direct
0.1939 0.7557 0.5913
0.2443 0.4087 0.8061
0.4087 0.8061 0.2443
0.5913 0.1939 0.7557
0.7557 0.5913 0.1939
0.8061 0.2443 0.4087
0.0424 0.9336 0.2760
0.0664 0.7240 0.9576
0.1414 0.4904 0.3040
0.2760 0.0424 0.9336
0.3040 0.1414 0.4904
0.4904 0.3040 0.1414
0.5096 0.6960 0.8586
0.6960 0.8586 0.5096
0.7240 0.9576 0.0664
0.8586 0.5096 0.6960
0.9336 0.2760 0.0424
0.9576 0.0664 0.7240
0.5000 0.5000 0.5000
```

Summary:
Its energy of formation from the pure elements is 0.041 eV per atom. The total energy is -84.671 eV/cell. The value obtained for the total magnetization is 0.00 μB per cell.


Entry 2:
A geometry-optimized TbTm2Sn structure. Source: the Alexandria database, functional PBE.

```
TbTm2Sn
1.0
1.7224 0.9944 11.6879
-1.7224 0.9944 11.6879
0.0000 -1.9889 11.6879
Tb Tm Sn
1 2 1
Direct
0.0000 0.0000 0.0000
0.0953 0.0953 0.0953
0.9047 0.9047 0.9047
0.5000 0.5000 0.5000
```

Summary:
Its energy of formation from the pure elements is 0.026 eV per atom. Its polymorph energy (0 for the lowest one) is 0.4358 eV per atom. The total energy is -17.472 eV/cell. The value obtained for the total magnetization is 0.47 μB per cell.


Entry 3:
A geometry-optimized TbTm2Sn9 structure. Source: the Alexandria database, functional PBE.

```
TbTm2Sn9
1.0
4.7838 0.0000 0.0000
0.0000 4.7838 0.0000
0.0000 0.0000 13.6431
Tb Tm Sn
1 2 9
Direct
0.0000 0.0000 0.0000
0.0000 0.0000 0.3334
0.0000 0.0000 0.6666
0.0000 0.5000 0.1685
0.0000 0.5000 0.5000
0.0000 0.5000 0.8315
0.5000 0.0000 0.1685
0.5000 0.0000 0.5000
0.5000 0.0000 0.8315
0.5000 0.5000 0.0000
0.5000 0.5000 0.3343
0.5000 0.5000 0.6657
```

Summary:
Its energy of formation from the pure elements is -0.391 eV per atom. The total energy is -54.296 eV/cell. The value obtained for the total magnetization is 0.00 μB per cell.


Entry 4:
A geometry-optimized Tb3Tm6Sn structure. Source: the Alexandria database, functional PBE.

```
Tb3Tm6Sn
1.0
6.6808 -6.8599 0.0000
6.6808 6.8599 0.0000
0.0000 0.0000 6.8264
Tb Tm Sn
6 12 2
Direct
0.1915 0.8085 0.5000
0.2383 0.3900 0.5138
0.3900 0.2383 0.0138
0.6100 0.7617 0.5138
0.7617 0.6100 0.0138
0.8085 0.1915 0.0000
0.0976 0.4604 0.9975
0.1144 0.1257 0.2538
0.1257 0.1144 0.7538
0.1751 0.8249 0.0079
0.4039 0.5961 0.2138
0.4604 0.0976 0.4975
0.5396 0.9024 0.9975
0.5961 0.4039 0.7138
0.8249 0.1751 0.5079
0.8743 0.8856 0.2538
0.8856 0.8743 0.7538
0.9024 0.5396 0.4975
0.3758 0.6242 0.7837
0.6242 0.3758 0.2837
```

Summary:
Its energy of formation from the pure elements is 0.018 eV per atom. The total energy is -89.087 eV/cell. The value obtained for the total magnetization is 0.00 μB per cell.


Entry 5:
A geometry-optimized Tb3TmSn3 structure. Source: the Alexandria database, functional PBE.

```
Tb3TmSn3
1.0
9.3876 0.0000 0.0000
-4.6938 8.1299 0.0000
0.0000 0.0000 6.1094
Tb Tm Sn
6 2 6
Direct
0.0224 0.6963 0.2500
0.3037 0.3261 0.2500
0.3261 0.0224 0.7500
0.6739 0.9776 0.2500
0.6963 0.6739 0.7500
0.9776 0.3037 0.7500
0.3333 0.6667 0.7500
0.6667 0.3333 0.2500
0.0043 0.6546 0.7500
0.3454 0.3496 0.7500
0.3496 0.0043 0.2500
0.6504 0.9957 0.7500
0.6546 0.6504 0.2500
0.9957 0.3454 0.2500
```

Summary:
Its energy of formation from the pure elements is -0.394 eV per atom. The total energy is -66.256 eV/cell. The value obtained for the total magnetization is 0.00 μB per cell.


Entry 6:
A geometry-optimized Tb4Tm5Sn2 structure. Source: the Alexandria database, functional PBE.

```
Tb4Tm5Sn2
1.0
2.5918 1.4964 15.3564
-2.5918 1.4964 15.3564
0.0000 -2.9928 15.3564
Tb Tm Sn
4 5 2
Direct
0.0713 0.0713 0.0713
0.2260 0.2260 0.2260
0.7740 0.7740 0.7740
0.9287 0.9287 0.9287
0.0000 0.0000 0.0000
0.1475 0.1475 0.1475
0.3036 0.3036 0.3036
0.6964 0.6964 0.6964
0.8525 0.8525 0.8525
0.3769 0.3769 0.3769
0.6231 0.6231 0.6231
```

Summary:
Its energy of formation from the pure elements is 0.112 eV per atom. The total energy is -47.650 eV/cell. The value obtained for the total magnetization is 0.04 μB per cell.


Entry 7:
A geometry-optimized TbTm5Sn6 structure. Source: the Alexandria database, functional PBE.

```
TbTm5Sn6
1.0
2.8215 -6.9462 0.0000
2.8215 6.9462 0.0000
-1.7708 0.0000 8.2728
Tb Tm Sn
1 5 6
Direct
0.0000 0.0000 0.0000
0.0000 0.0000 0.5000
0.3314 0.6686 0.0000
0.3354 0.6646 0.5000
0.6646 0.3354 0.5000
0.6686 0.3314 0.0000
0.1656 0.8301 0.2528
0.1699 0.8344 0.7472
0.4902 0.4902 0.7521
0.5098 0.5098 0.2479
0.8301 0.1656 0.2528
0.8344 0.1699 0.7472
```

Summary:
Its energy of formation from the pure elements is -0.589 eV per atom. The total energy is -58.071 eV/cell. The value obtained for the total magnetization is 0.00 μB per cell.


Entry 8:
A geometry-optimized TbTm5Sn2 structure. Source: the Alexandria database, functional PBE.

```
TbTm5Sn2
1.0
-2.2592 4.7781 5.5196
2.2592 -4.7781 5.5196
2.2592 4.7781 -5.5196
Tb Tm Sn
1 5 2
Direct
0.0000 0.0000 0.0000
0.1603 0.3449 0.8155
0.4706 0.6551 0.8155
0.5000 0.0000 0.5000
0.5294 0.3449 0.1845
0.8397 0.6551 0.1845
0.2112 0.7112 0.5000
0.7888 0.2888 0.5000
```

Summary:
Its energy of formation from the pure elements is -0.262 eV per atom. The total energy is -37.093 eV/cell. The value obtained for the total magnetization is 1.15 μB per cell.